# Ca2In6Ir | the Alexandria database | PBE-GGA | relaxed
data_Ca2In6Ir
_chemical_formula_sum 'Ca2 In6 Ir1'
_cell_length_a 4.2056
_cell_length_b 8.2675
_cell_length_c 8.4700
_cell_angle_alpha 119.22
_cell_angle_beta 90.00
_cell_angle_gamma 90.00
_space_group_name_H-M_alt 'P 1'
_space_group_IT_number 1
loop_
_space_group_symop_operation_xyz
'x,y,z'
loop_
_atom_site_label
_atom_site_type_symbol
_atom_site_fract_x
_atom_site_fract_y
_atom_site_fract_z
_atom_site_occupancy
In1 In 0.0001 0.3396 0.3109 1
Ca1 Ca 0.5001 0.6750 0.3500 1
Ir1 Ir 0.0000 0.0000 0.0000 1
In2 In 0.5000 0.7754 0.0000 1
In3 In 0.5000 0.2246 0.0000 1
Ca2 Ca 0.4999 0.3250 0.6500 1
In4 In 0.9999 0.6604 0.6891 1
In5 In 0.9999 0.0287 0.6892 1
In6 In 0.0001 0.9713 0.3108 1
# Formation enthalpy at 0 K = -0.13 eV/atom